# Sc3SiS2

A relaxed Sc3SiS2 crystal (PBE-GGA, Alexandria).

Geometry as CIF:
```
data_Sc3SiS2
_symmetry_space_group_name_H-M 'P 1'
_symmetry_Int_Tables_number 1
_symmetry_space_group_name_Hall 'P 1'
_cell_length_a 3.7413
_cell_length_b 5.3109
_cell_length_c 11.2944
_cell_angle_alpha 90.00
_cell_angle_beta 90.00
_cell_angle_gamma 90.00
loop_
_atom_site_label
_atom_site_fract_x
_atom_site_fract_y
_atom_site_fract_z
_atom_site_occupancy
Sc1 0.0000 0.0000 0.0000 1
Sc2 0.0000 0.0000 0.3339 1
Sc3 0.0000 0.0000 0.6661 1
Sc4 0.5000 0.5000 0.1661 1
Sc5 0.5000 0.5000 0.5000 1
Sc6 0.5000 0.5000 0.8339 1
Si1 0.0000 0.5000 0.0000 1
Si2 0.5000 0.0000 0.5000 1
S1 0.0000 0.5000 0.3330 1
S2 0.0000 0.5000 0.6670 1
S3 0.5000 0.0000 0.1670 1
S4 0.5000 0.0000 0.8330 1
```

Properties
**Electronic total energy**: -6.9595 eV per atom